Entry 1:
DFT (GGA-PBE) results for a geometry-optimized AcLaPm2Y5 structure.

a = 8.910 Å, b = 8.910 Å, c = 15.879 Å
α = 90.00°, β = 90.00°, γ = 90.00°
Space group I4/mcm (No. 140)
Asymmetric unit:
Ac1 0.000 0.500 0.250 (multiplicity 4)
La1 0.000 0.000 0.250 (multiplicity 4)
Pm1 0.115 0.385 0.000 (multiplicity 8)
Y1 0.000 0.000 0.000 (multiplicity 4)
Y2 0.211 0.289 0.370 (multiplicity 16)

## Properties
* raw total energy: -5.409 eV/atom
* crystal system: tetragonal
* formation energy: 0.2419 eV/atom


Entry 2:
DFT (GGA-PBE) results for a geometry-optimized Ac6LaPm2Y3 structure.

a = 6.651 Å, b = 11.529 Å, c = 12.355 Å
α = 90.00°, β = 100.35°, γ = 90.00°
Space group C2/m (No. 12)
Asymmetric unit:
Ac1 0.248 0.000 0.246 (multiplicity 4)
Ac2 0.248 0.333 0.246 (multiplicity 8)
La1 0.000 0.000 0.500 (multiplicity 2)
Pm1 0.000 0.333 0.500 (multiplicity 4)
Y1 0.000 0.167 0.000 (multiplicity 4)
Y2 0.000 0.500 0.000 (multiplicity 2)

## Properties
* raw total energy: -4.841 eV/atom
* crystal system: monoclinic
* formation energy: 0.0314 eV/atom


Entry 3:
DFT (GGA-PBE) results for a geometry-optimized AcLa2Pm6Y structure.

a = 9.318 Å, b = 15.637 Å, c = 9.988 Å
α = 90.00°, β = 97.15°, γ = 90.00°
Space group C2/c (No. 15)
Asymmetric unit:
Ac1 0.000 0.019 0.250 (multiplicity 4)
La1 0.246 0.444 0.457 (multiplicity 8)
Pm1 0.066 0.193 0.945 (multiplicity 8)
Pm2 0.103 0.395 0.119 (multiplicity 8)
Pm3 0.206 0.226 0.312 (multiplicity 8)
Y1 0.000 0.407 0.750 (multiplicity 4)

## Properties
* raw total energy: -4.779 eV/atom
* crystal system: monoclinic
* formation energy: 0.1140 eV/atom


Entry 4:
DFT (GGA-PBE) results for a geometry-optimized AcLaPm5Y2 structure.

a = 5.676 Å, b = 24.218 Å, c = 9.548 Å
α = 90.00°, β = 90.00°, γ = 90.00°
Space group Cmc2_1 (No. 36)
Asymmetric unit:
Ac1 0.000 0.103 0.000 (multiplicity 4)
La1 0.000 0.264 0.611 (multiplicity 4)
Pm1 0.000 0.024 0.322 (multiplicity 4)
Pm2 0.000 0.102 0.604 (multiplicity 4)
Pm3 0.000 0.189 0.304 (multiplicity 4)
Pm4 0.000 0.241 0.933 (multiplicity 4)
Pm5 0.000 0.494 0.099 (multiplicity 4)
Y1 0.000 0.331 0.245 (multiplicity 4)
Y2 0.000 0.388 0.860 (multiplicity 4)

## Properties
* raw total energy: -4.943 eV/atom
* crystal system: orthorhombic
* formation energy: 0.1367 eV/atom


Entry 5:
DFT (GGA-PBE) results for a geometry-optimized AcLa6Pm2Y structure.

a = 9.437 Å, b = 15.682 Å, c = 10.108 Å
α = 90.00°, β = 97.80°, γ = 90.00°
Space group C2/c (No. 15)
Asymmetric unit:
Ac1 0.000 0.021 0.250 (multiplicity 4)
La1 0.068 0.184 0.951 (multiplicity 8)
La2 0.100 0.396 0.121 (multiplicity 8)
La3 0.216 0.227 0.313 (multiplicity 8)
Pm1 0.249 0.449 0.456 (multiplicity 8)
Y1 0.000 0.409 0.750 (multiplicity 4)

## Properties
* raw total energy: -4.864 eV/atom
* crystal system: monoclinic
* formation energy: 0.0994 eV/atom


Entry 6:
DFT (GGA-PBE) results for a geometry-optimized Ac2La5PmY structure.

a = 5.694 Å, b = 22.809 Å, c = 10.641 Å
α = 90.00°, β = 90.00°, γ = 90.00°
Space group Cmc2_1 (No. 36)
Asymmetric unit:
Ac1 0.000 0.115 0.000 (multiplicity 4)
Ac2 0.000 0.115 0.474 (multiplicity 4)
La1 0.000 0.004 0.737 (multiplicity 4)
La2 0.000 0.277 0.047 (multiplicity 4)
La3 0.000 0.277 0.427 (multiplicity 4)
La4 0.000 0.378 0.737 (multiplicity 4)
La5 0.000 0.500 0.487 (multiplicity 4)
Pm1 0.000 0.216 0.737 (multiplicity 4)
Y1 0.000 0.397 0.237 (multiplicity 4)

## Properties
* raw total energy: -4.797 eV/atom
* crystal system: orthorhombic
* formation energy: 0.1000 eV/atom